The following is a GGA-PBE calculation of an optimized crystal structure of SiSb5, from Alexandria via LeMat-Bulk.

a = 6.8889 Å, b = 6.8889 Å, c = 6.0749 Å
α = 90.00°, β = 90.00°, γ = 144.87°
With the nearest neighbours (Å) after each atom.
Atoms (fractional coordinates):
Si (0.0000, 0.0000, 0.0000)  6 Sb 2.86-3.04
Sb (0.0000, 0.0000, 0.5000)  4 Sb 3.01, 2 Si 3.04
Sb (0.3339, 0.6661, 0.5000)  6 Sb 3.01-3.04
Sb (0.3501, 0.6499, 0.0000)  2 Si 2.86, 2 Sb 3.04
Sb (0.6499, 0.3501, 0.0000)  2 Si 2.86, 2 Sb 3.04
Sb (0.6661, 0.3339, 0.5000)  6 Sb 3.01-3.04

Computed properties:
The total energy is -24.94 eV for the cell shown. Its energy above the most stable polymorph in this dataset is 0.0 kJ per mole of atoms. The value obtained for the energy relative to the elements, uncorrected is 1.1 eV/f.u. As for the spin magnetization: 0.00 μB per formula unit. The space group is No. 65.

The following is a GGA-PBE calculation of an optimized crystal structure of Si4Sb3, from Alexandria via LeMat-Bulk.

a = 6.4613 Å, b = 6.4613 Å, c = 4.5949 Å
α = 90.00°, β = 90.00°, γ = 120.00°
With the nearest neighbours (Å) after each atom.
Atoms (fractional coordinates):
Si (0.0000, 0.0000, 0.2487)  2 Si 2.29-2.31
Si (0.0000, 0.0000, 0.7513)  2 Si 2.29-2.31
Si (0.3333, 0.6667, 0.5000)  6 Sb 2.96
Si (0.6667, 0.3333, 0.5000)  6 Sb 2.96
Sb (0.0000, 0.5000, 0.0000)  4 Si 2.96, 4 Sb 3.23
Sb (0.5000, 0.0000, 0.0000)  4 Si 2.96, 4 Sb 3.23
Sb (0.5000, 0.5000, 0.0000)  4 Si 2.96, 4 Sb 3.23

Computed properties:
The total energy is -28.57 eV for the cell shown. The value obtained for the energy relative to the elements, uncorrected is 5.5 eV/f.u. As for the spin magnetization: 0.00 μB per formula unit. The space group is No. 191.

The following is a GGA-PBE calculation of an optimized crystal structure of SiSb3, from Alexandria via LeMat-Bulk.

a = 5.9964 Å, b = 5.9964 Å, c = 5.9964 Å
α = 116.74°, β = 116.74°, γ = 116.74°
With the nearest neighbours (Å) after each atom.
Atoms (fractional coordinates):
Si (0.0000, 0.0000, 0.0000)  6 Sb 3.14, 2 Si 3.29
Sb (0.0000, 0.5000, 0.5000)  6 Sb 3.14-3.29, 2 Si 3.14
Sb (0.5000, 0.0000, 0.5000)  2 Si 3.14, 6 Sb 3.14-3.29
Sb (0.5000, 0.5000, 0.0000)  6 Sb 3.14-3.29, 2 Si 3.14

Computed properties:
The total energy is -15.94 eV for the cell shown. Its energy above the most stable polymorph in this dataset is 27.5 kJ per mole of atoms. The value obtained for the energy relative to the elements, uncorrected is 1.8 eV/f.u. As for the spin magnetization: 0.00 μB per formula unit. The space group is No. 166.

The following is a GGA-PBE calculation of an optimized crystal structure of SiSb3, from Alexandria via LeMat-Bulk.

a = 5.8847 Å, b = 5.8847 Å, c = 5.8847 Å
α = 90.00°, β = 90.00°, γ = 90.00°
With the nearest neighbours (Å) after each atom.
Atoms (fractional coordinates):
Si (0.0000, 0.0000, 0.0000)  12 Sb 3.29
Si (0.5000, 0.5000, 0.5000)  12 Sb 3.29
Sb (0.0000, 0.2500, 0.5000)  2 Sb 2.94, 4 Si 3.29
Sb (0.0000, 0.7500, 0.5000)  2 Sb 2.94, 4 Si 3.29
Sb (0.2500, 0.5000, 0.0000)  2 Sb 2.94, 4 Si 3.29
Sb (0.5000, 0.0000, 0.2500)  2 Sb 2.94, 4 Si 3.29
Sb (0.5000, 0.0000, 0.7500)  2 Sb 2.94, 4 Si 3.29
Sb (0.7500, 0.5000, 0.0000)  2 Sb 2.94, 4 Si 3.29

Computed properties:
The total energy is -30.80 eV for the cell shown. Its energy above the most stable polymorph in this dataset is 40.6 kJ per mole of atoms. The value obtained for the energy relative to the elements, uncorrected is 2.4 eV/f.u. As for the spin magnetization: 0.00 μB per formula unit. The space group is No. 223.

The following is a GGA-PBE calculation of an optimized crystal structure of Si2Sb, from Alexandria via LeMat-Bulk.

a = 4.8941 Å, b = 4.8941 Å, c = 5.6982 Å
α = 90.00°, β = 90.00°, γ = 120.00°
With the nearest neighbours (Å) after each atom.
Atoms (fractional coordinates):
Si (0.0000, 0.0000, 0.0000)  8 Si 2.85-3.16, 6 Sb 3.16
Si (0.0000, 0.0000, 0.5000)  8 Si 2.85-3.16, 6 Sb 3.16
Si (0.3333, 0.6667, 0.2500)  5 Sb 2.83-2.85, 6 Si 3.16
Si (0.6667, 0.3333, 0.7500)  5 Sb 2.83-2.85, 6 Si 3.16
Sb (0.3333, 0.6667, 0.7500)  11 Si 2.83-3.16
Sb (0.6667, 0.3333, 0.2500)  11 Si 2.83-3.16

Computed properties:
The total energy is -26.17 eV for the cell shown. Its energy above the most stable polymorph in this dataset is 34.6 kJ per mole of atoms. The value obtained for the energy relative to the elements, uncorrected is 1.9 eV/f.u. As for the spin magnetization: 0.00 μB per formula unit. The space group is No. 194.

The following is a GGA-PBE calculation of an optimized crystal structure of SiSb3, from Alexandria via LeMat-Bulk.

a = 4.1804 Å, b = 5.8401 Å, c = 4.6377 Å
α = 90.00°, β = 90.00°, γ = 90.00°
With the nearest neighbours (Å) after each atom.
Atoms (fractional coordinates):
Si (0.0000, 0.0000, 0.0000)  4 Sb 2.72-2.94
Sb (0.0000, 0.5000, 0.0746)  2 Sb 2.90, 2 Si 2.94
Sb (0.5000, 0.0000, 0.6256)  2 Si 2.72, 2 Sb 2.97
Sb (0.5000, 0.5000, 0.5071)  4 Sb 2.90-2.97

Computed properties:
The total energy is -16.92 eV for the cell shown. Its energy above the most stable polymorph in this dataset is 4.0 kJ per mole of atoms. The value obtained for the energy relative to the elements, uncorrected is 0.9 eV/f.u. As for the spin magnetization: 0.00 μB per formula unit. The space group is No. 25.

The following is a GGA-PBE calculation of an optimized crystal structure of SiSb4, from Alexandria via LeMat-Bulk.

a = 5.2189 Å, b = 5.2189 Å, c = 5.2189 Å
α = 90.00°, β = 90.00°, γ = 90.00°
With the nearest neighbours (Å) after each atom.
Atoms (fractional coordinates):
Si (0.0000, 0.0000, 0.0000)  6 Sb 2.61
Sb (0.0000, 0.0000, 0.5000)  2 Si 2.61
Sb (0.0000, 0.5000, 0.0000)  2 Si 2.61
Sb (0.5000, 0.0000, 0.0000)  2 Si 2.61
Sb (0.5000, 0.5000, 0.5000)  12 Sb 3.69

Computed properties:
The total energy is -18.97 eV for the cell shown. Its energy above the most stable polymorph in this dataset is 26.3 kJ per mole of atoms. The value obtained for the energy relative to the elements, uncorrected is 2.9 eV/f.u. As for the spin magnetization: 0.00 μB per formula unit. The space group is No. 221.

The following is a GGA-PBE calculation of an optimized crystal structure of Si5Sb3, from Alexandria via LeMat-Bulk.

a = 9.0012 Å, b = 9.0012 Å, c = 4.8837 Å
α = 90.00°, β = 90.00°, γ = 120.00°
With the nearest neighbours (Å) after each atom.
Atoms (fractional coordinates):
Si (0.0000, 0.1626, 0.2500)  2 Si 2.54
Si (0.0000, 0.8374, 0.7500)  2 Si 2.54
Si (0.1626, 0.0000, 0.2500)  2 Si 2.54
Si (0.1626, 0.1626, 0.7500)  2 Si 2.54
Si (0.3333, 0.6667, 0.0000)  2 Si 2.44
Si (0.3333, 0.6667, 0.5000)  2 Si 2.44
Si (0.6667, 0.3333, 0.0000)  2 Si 2.44
Si (0.6667, 0.3333, 0.5000)  2 Si 2.44
Si (0.8374, 0.0000, 0.7500)  2 Si 2.54
Si (0.8374, 0.8374, 0.2500)  2 Si 2.54
Sb (0.0000, 0.3741, 0.7500)  8 Si 2.92-3.10
Sb (0.0000, 0.6259, 0.2500)  8 Si 2.92-3.10
Sb (0.3741, 0.0000, 0.7500)  8 Si 2.92-3.10
Sb (0.3741, 0.3741, 0.2500)  8 Si 2.92-3.10
Sb (0.6259, 0.0000, 0.2500)  8 Si 2.92-3.10
Sb (0.6259, 0.6259, 0.7500)  8 Si 2.92-3.10

Computed properties:
The total energy is -70.10 eV for the cell shown. Its energy above the most stable polymorph in this dataset is 22.5 kJ per mole of atoms. The value obtained for the energy relative to the elements, uncorrected is 4.4 eV/f.u. As for the spin magnetization: 0.00 μB per formula unit. The space group is No. 193.

The following is a GGA-PBE calculation of an optimized crystal structure of Si2Sb, from Alexandria via LeMat-Bulk.

a = 5.4228 Å, b = 5.4228 Å, c = 5.4228 Å
α = 60.00°, β = 60.00°, γ = 60.00°
With the nearest neighbours (Å) after each atom.
Atoms (fractional coordinates):
Si (0.0000, 0.0000, 0.0000)  6 Si 2.71
Si (0.0000, 0.0000, 0.5000)  6 Si 2.71
Si (0.0000, 0.5000, 0.0000)  6 Si 2.71
Si (0.5000, 0.0000, 0.0000)  6 Si 2.71
Sb (0.3750, 0.3750, 0.3750)  12 Si 3.18, 4 Sb 3.32
Sb (0.6250, 0.6250, 0.6250)  12 Si 3.18, 4 Sb 3.32

Computed properties:
The total energy is -26.65 eV for the cell shown. Its energy above the most stable polymorph in this dataset is 26.9 kJ per mole of atoms. The value obtained for the energy relative to the elements, uncorrected is 1.6 eV/f.u. As for the spin magnetization: 0.00 μB per formula unit. The space group is No. 227.

The following is a GGA-PBE calculation of an optimized crystal structure of Si2Sb, from Alexandria via LeMat-Bulk.

a = 5.4112 Å, b = 6.7347 Å, c = 3.8872 Å
α = 90.00°, β = 90.00°, γ = 90.00°
With the nearest neighbours (Å) after each atom.
Atoms (fractional coordinates):
Si (0.1651, 0.1110, 0.0000)  1 Si 2.33
Si (0.3349, 0.6110, 0.5000)  1 Si 2.33
Si (0.6651, 0.3890, 0.5000)  1 Si 2.33
Si (0.8349, 0.8890, 0.0000)  1 Si 2.33
Sb (0.0000, 0.5000, 0.0000)  6 Si 2.76-2.77
Sb (0.5000, 0.0000, 0.5000)  6 Si 2.76-2.77

Computed properties:
The total energy is -26.70 eV for the cell shown. Its energy above the most stable polymorph in this dataset is 26.1 kJ per mole of atoms. The value obtained for the energy relative to the elements, uncorrected is 1.6 eV/f.u. As for the spin magnetization: 0.00 μB per formula unit. The space group is No. 58.

The following is a GGA-PBE calculation of an optimized crystal structure of Si2Sb, from Alexandria via LeMat-Bulk.

a = 6.6320 Å, b = 6.6320 Å, c = 6.2899 Å
α = 117.00°, β = 117.00°, γ = 32.04°
With the nearest neighbours (Å) after each atom.
Atoms (fractional coordinates):
Si (0.0266, 0.0266, 0.3418)  3 Si 2.39-2.48
Si (0.3312, 0.3312, 0.6037)  4 Si 2.48-2.61, 1 Sb 2.65
Si (0.6688, 0.6688, 0.3963)  4 Si 2.48-2.61, 1 Sb 2.65
Si (0.9734, 0.9734, 0.6582)  3 Si 2.39-2.48
Sb (0.3560, 0.3560, 0.0469)  3 Si 2.65-2.78
Sb (0.6440, 0.6440, 0.9531)  3 Si 2.65-2.78

Computed properties:
The total energy is -28.32 eV for the cell shown. Its energy above the most stable polymorph in this dataset is 0.0 kJ per mole of atoms. The value obtained for the energy relative to the elements, uncorrected is 0.8 eV/f.u. As for the spin magnetization: 0.00 μB per formula unit. The space group is No. 12.

The following is a GGA-PBE calculation of an optimized crystal structure of SiSb3, from Alexandria via LeMat-Bulk.

a = 3.4983 Å, b = 3.4983 Å, c = 7.9996 Å
α = 90.00°, β = 90.00°, γ = 90.00°
With the nearest neighbours (Å) after each atom.
Atoms (fractional coordinates):
Si (0.0000, 0.0000, 0.0000)  8 Sb 2.97
Sb (0.0000, 0.0000, 0.5000)  12 Sb 3.41-3.50
Sb (0.5000, 0.5000, 0.2065)  4 Si 2.97, 1 Sb 3.30
Sb (0.5000, 0.5000, 0.7935)  4 Si 2.97, 1 Sb 3.30

Computed properties:
The total energy is -16.27 eV for the cell shown. Its energy above the most stable polymorph in this dataset is 19.8 kJ per mole of atoms. The value obtained for the energy relative to the elements, uncorrected is 1.5 eV/f.u. As for the spin magnetization: 0.00 μB per formula unit. The space group is No. 123.

What is the spin magnetization in the fifth record?
0.00 μB per formula unit

Which formula does entry 11 have?
Si2Sb

Look up the spin magnetization of the eleventh one.
0.00 μB per formula unit

Copy entry 4 word for word.
The following is a GGA-PBE calculation of an optimized crystal structure of SiSb3, from Alexandria via LeMat-Bulk.

a = 5.8847 Å, b = 5.8847 Å, c = 5.8847 Å
α = 90.00°, β = 90.00°, γ = 90.00°
With the nearest neighbours (Å) after each atom.
Atoms (fractional coordinates):
Si (0.0000, 0.0000, 0.0000)  12 Sb 3.29
Si (0.5000, 0.5000, 0.5000)  12 Sb 3.29
Sb (0.0000, 0.2500, 0.5000)  2 Sb 2.94, 4 Si 3.29
Sb (0.0000, 0.7500, 0.5000)  2 Sb 2.94, 4 Si 3.29
Sb (0.2500, 0.5000, 0.0000)  2 Sb 2.94, 4 Si 3.29
Sb (0.5000, 0.0000, 0.2500)  2 Sb 2.94, 4 Si 3.29
Sb (0.5000, 0.0000, 0.7500)  2 Sb 2.94, 4 Si 3.29
Sb (0.7500, 0.5000, 0.0000)  2 Sb 2.94, 4 Si 3.29

Computed properties:
The total energy is -30.80 eV for the cell shown. Its energy above the most stable polymorph in this dataset is 40.6 kJ per mole of atoms. The value obtained for the energy relative to the elements, uncorrected is 2.4 eV/f.u. As for the spin magnetization: 0.00 μB per formula unit. The space group is No. 223.